# 1
# PBE-GGA CsClF4, relaxed
# - N(E_F) (states/eV/f.u.) = 0.0
# - final energy (eV/atom) = -3.19
# - raw formation energy (eV/atom) = -1.491
data_CsClF4
_chemical_formula_sum 'Cs4 Cl4 F16'
_cell_length_a 11.2361
_cell_length_b 5.5839
_cell_length_c 8.6781
_cell_angle_alpha 90.00
_cell_angle_beta 107.89
_cell_angle_gamma 90.00
_symmetry_space_group_name_H-M 'C 1 2/c 1'
_symmetry_Int_Tables_number 15
loop_
_symmetry_equiv_pos_as_xyz
'x,y,z'
'-x,-y,-z'
'-x,y,-z+1/2'
'x,-y,z+1/2'
'x+1/2,y+1/2,z'
'-x+1/2,-y+1/2,-z'
'-x+1/2,y+1/2,-z+1/2'
'x+1/2,-y+1/2,z+1/2'
loop_
_atom_site_label
_atom_site_fract_x
_atom_site_fract_y
_atom_site_fract_z
_atom_site_occupancy
Cs1 0.0000 0.2140 0.2500 1
Cl1 0.2500 0.2500 0.0000 1
F1 0.0797 0.2954 0.9343 1
F2 0.2292 0.0141 0.6146 1


# 2
# PBE-GGA Cs6ClF4, relaxed
# - N(E_F) (states/eV/f.u.) = 1.4
# - final energy (eV/atom) = -3.53
# - raw formation energy (eV/atom) = -2.214
data_Cs6ClF4
_chemical_formula_sum 'Cs24 Cl4 F16'
_cell_length_a 4.3446
_cell_length_b 14.5428
_cell_length_c 26.3623
_cell_angle_alpha 90.00
_cell_angle_beta 90.00
_cell_angle_gamma 90.00
_symmetry_space_group_name_H-M 'C m c m'
_symmetry_Int_Tables_number 63
_symmetry_space_group_name_Hall '-C 2c 2'
loop_
_atom_site_label
_atom_site_fract_x
_atom_site_fract_y
_atom_site_fract_z
_atom_site_occupancy
Cs1 0.0000 0.0000 0.0000 1
Cs2 0.0000 0.2391 0.2500 1
Cs3 0.0000 0.2724 0.5677 1
Cs4 0.0000 0.4846 0.1455 1
Cl1 0.0000 0.0695 0.7500 1
F1 0.0000 0.0909 0.0989 1
F2 0.0000 0.3632 0.0386 1


# 3
# PBE-GGA CsCl2F4, relaxed
# - N(E_F) (states/eV/f.u.) = 7.1
# - final energy (eV/atom) = -2.91
# - raw formation energy (eV/atom) = -1.188
data_CsCl2F4
_chemical_formula_sum 'Cs8 Cl16 F32'
_cell_length_a 14.1825
_cell_length_b 14.2207
_cell_length_c 6.6134
_cell_angle_alpha 90.00
_cell_angle_beta 90.00
_cell_angle_gamma 90.00
_symmetry_space_group_name_H-M 'F d d 2'
_symmetry_Int_Tables_number 43
_symmetry_space_group_name_Hall 'F 2 -2d'
loop_
_atom_site_label
_atom_site_fract_x
_atom_site_fract_y
_atom_site_fract_z
_atom_site_occupancy
Cs1 0.0000 0.0000 0.0000 1
Cl1 0.0835 0.1662 0.6254 1
F1 0.0623 0.1420 0.3592 1
F2 0.1082 0.1869 0.8913 1


# 4
# PBE-GGA CsCl3F, relaxed
# - N(E_F) (states/eV/f.u.) = 2.9
# - energy relative to the lowest polymorph listed for this composition (meV per atom) = 120
# - final energy (eV/atom) = -2.16
# - raw formation energy (eV/atom) = -0.502
data_CsCl3F
_chemical_formula_sum 'Cs1 Cl3 F1'
_cell_length_a 4.9520
_cell_length_b 4.9520
_cell_length_c 4.9520
_cell_angle_alpha 90.00
_cell_angle_beta 90.00
_cell_angle_gamma 90.00
_symmetry_space_group_name_H-M 'P m -3 m'
_symmetry_Int_Tables_number 221
_symmetry_space_group_name_Hall '-P 4 2 3'
loop_
_atom_site_label
_atom_site_fract_x
_atom_site_fract_y
_atom_site_fract_z
_atom_site_occupancy
Cs1 0.0000 0.0000 0.0000 1
Cl1 0.0000 0.5000 0.5000 1
F1 0.5000 0.5000 0.5000 1